The following is a DFT calculation (GGA-PBE) of a relaxed structure of Tb4DyY2.

The structure in POSCAR format:
```
Tb4DyY2
1.0
3.592 0.000 0.000
-1.796 3.109 -0.105
0.000 0.672 20.071
Tb Dy Y
4 1 2
direct
0.048 0.096 0.953
0.381 0.762 0.525
0.048 0.095 0.238
0.381 0.763 0.809
0.715 0.429 0.666
0.715 0.429 0.096
0.714 0.429 0.382
```

Computed properties:
Fermi-level density of states, states/eV per cell: 10.17
ΔH_f (0 K), eV/atom: 0.006
Symmetry: P3m1